<A>
## Na2FePCO7 (GGA+U)

Data for an optimized crystal structure of Na2FePCO7.

Cell: 5.283 6.582 9.046 Å, 90.00 91.70 90.00°
Space group P2_1/m (No. 11)
Symmetry-distinct sites (fractional):
Na  0.236  0.004  0.276 [4 per cell]
Fe  0.213  0.250  0.859 [2 per cell]
P  0.279  0.750  0.928 [2 per cell]
C  0.273  0.250  0.583 [2 per cell]
O  0.048  0.250  0.641 [2 per cell]
O  0.152  0.750  0.081 [2 per cell]
O  0.198  0.559  0.839 [4 per cell]
O  0.311  0.250  0.447 [2 per cell]
O  0.425  0.250  0.045 [2 per cell]
O  0.459  0.250  0.685 [2 per cell]

Values from the calculation:
The volume comes out at 13.1 A^3/atom.

---

<B>
## Na2FePCO7 (GGA+U)

Data for an optimized crystal structure of Na2FePCO7.

Cell: 5.306 6.551 8.916 Å, 87.42 88.35 89.39°
Space group P-1 (No. 2)
Symmetry-distinct sites (fractional):
Na  0.222  0.289  0.416 [2 per cell]
Na  0.253  0.985  0.765 [2 per cell]
Fe  0.222  0.736  0.155 [2 per cell]
P  0.275  0.242  0.073 [2 per cell]
C  0.294  0.757  0.432 [2 per cell]
O  0.067  0.735  0.380 [2 per cell]
O  0.116  0.239  0.932 [2 per cell]
O  0.208  0.058  0.184 [2 per cell]
O  0.227  0.434  0.165 [2 per cell]
O  0.333  0.782  0.569 [2 per cell]
O  0.441  0.775  0.974 [2 per cell]
O  0.478  0.746  0.331 [2 per cell]

Values from the calculation:
The volume comes out at 12.9 A^3/atom.

---

<C>
## Na2FePCO7 (GGA+U)

Data for an optimized crystal structure of Na2FePCO7.

Cell: 5.309 6.529 8.962 Å, 90.00 92.31 90.00°
Space group P2_1 (No. 4)
Symmetry-distinct sites (fractional):
Na  0.221  0.000  0.083 [2 per cell]
Na  0.257  0.259  0.728 [2 per cell]
Fe  0.218  0.469  0.345 [2 per cell]
P  0.274  0.977  0.426 [2 per cell]
C  0.295  0.479  0.070 [2 per cell]
O  0.066  0.478  0.121 [2 per cell]
O  0.117  0.988  0.567 [2 per cell]
O  0.204  0.789  0.326 [2 per cell]
O  0.223  0.165  0.324 [2 per cell]
O  0.337  0.460  0.932 [2 per cell]
O  0.441  0.464  0.526 [2 per cell]
O  0.476  0.495  0.173 [2 per cell]

Values from the calculation:
The volume comes out at 12.9 A^3/atom.

---

Winner for stability: <A>

---

<A>
## Na3FePCO7 (GGA+U)

Data for an optimized crystal structure of Na3FePCO7.

Cell: 5.303 6.721 8.998 Å, 90.00 90.02 90.00°
Space group P2_1 (No. 4)
Symmetry-distinct sites (fractional):
Na  0.000  0.000  0.000 [2 per cell]
Na  0.058  0.251  0.664 [2 per cell]
Na  0.500  0.001  0.500 [2 per cell]
Fe  0.470  0.750  0.798 [2 per cell]
P  0.486  0.751  0.157 [2 per cell]
C  0.000  0.250  0.345 [2 per cell]
O  0.060  0.750  0.794 [2 per cell]
O  0.177  0.751  0.554 [2 per cell]
O  0.198  0.750  0.135 [2 per cell]
O  0.237  0.251  0.386 [2 per cell]
O  0.377  0.251  0.998 [2 per cell]
O  0.422  0.066  0.753 [2 per cell]
O  0.424  0.435  0.753 [2 per cell]

Values from the calculation:
The volume comes out at 12.3 A^3/atom.

---

<B>
## Na3FePCO7 (GGA+U)

Data for an optimized crystal structure of Na3FePCO7.

Cell: 5.253 6.681 9.045 Å, 90.00 91.10 90.00°
Space group P2_1/m (No. 11)
Symmetry-distinct sites (fractional):
Na  0.234  0.250  0.082 [2 per cell]
Na  0.252  0.504  0.734 [4 per cell]
Fe  0.221  0.750  0.352 [2 per cell]
P  0.293  0.250  0.414 [2 per cell]
C  0.278  0.750  0.059 [2 per cell]
O  0.055  0.750  0.120 [2 per cell]
O  0.160  0.250  0.565 [2 per cell]
O  0.216  0.064  0.319 [4 per cell]
O  0.298  0.750  0.917 [2 per cell]
O  0.412  0.750  0.561 [2 per cell]
O  0.481  0.750  0.144 [2 per cell]

Values from the calculation:
The volume comes out at 12.2 A^3/atom.

---

Winner for stability: <B>